Entry 1:
The following is a PBE calculation of a geometry-optimized La3Np5N12 structure, from Alexandria via LeMat-Bulk.

Unit cell a=11.941 b=11.941 c=11.941 alpha=109.47 beta=109.47 gamma=109.47
Last column: magnetic moment on the atom in μB.
Fractional coordinates of all 80 atoms:
N 0.805 0.330 0.928  -0.12
N 0.402 0.377 0.572  -0.12
N 0.123 0.428 0.098  -0.12
N 0.975 0.598 0.170  -0.12
N 0.377 0.402 0.072  -0.12
Np 0.500 0.500 0.500  0.92
N 0.598 0.623 0.428  -0.12
La 0.625 0.375 0.750  0.01
Np 0.125 0.375 0.250  2.36
N 0.572 0.877 0.402  -0.12
Np 0.000 0.500 0.000  0.92
La 0.875 0.750 0.125  0.01
Np 0.500 0.500 0.000  0.92
N 0.475 0.670 0.098  -0.12
Np 0.375 0.125 0.750  2.36
N 0.975 0.377 0.305  -0.12
N 0.928 0.830 0.805  -0.12
N 0.305 0.877 0.975  -0.12
N 0.025 0.402 0.830  -0.12
La 0.125 0.875 0.750  0.01
N 0.098 0.928 0.123  -0.12
Np 0.000 0.000 0.000  0.92
N 0.928 0.098 0.623  -0.12
Np 0.375 0.250 0.125  2.36
La 0.625 0.250 0.375  0.01
Np 0.500 0.000 0.500  0.92
N 0.475 0.805 0.877  -0.12
Np 0.000 0.500 0.500  0.92
La 0.750 0.875 0.625  0.01
N 0.123 0.695 0.525  -0.12
N 0.830 0.902 0.025  -0.12
Np 0.500 0.000 0.000  0.92
N 0.170 0.072 0.695  -0.12
N 0.877 0.572 0.902  -0.12
N 0.305 0.428 0.830  -0.12
Np 0.250 0.875 0.125  2.36
Np 0.000 0.000 0.500  0.92
N 0.670 0.195 0.572  -0.12
N 0.877 0.305 0.475  -0.12
N 0.623 0.598 0.928  -0.12
N 0.072 0.902 0.377  -0.12
La 0.875 0.125 0.250  0.01
Np 0.625 0.750 0.875  2.36
Np 0.250 0.375 0.625  2.36
N 0.572 0.695 0.670  -0.12
N 0.830 0.928 0.305  -0.12
N 0.402 0.025 0.330  -0.12
Np 0.875 0.250 0.625  2.36
Np 0.625 0.875 0.250  2.36
N 0.695 0.123 0.025  -0.12
N 0.695 0.572 0.170  -0.12
La 0.750 0.375 0.125  0.01
N 0.670 0.475 0.598  -0.12
N 0.902 0.830 0.525  -0.12
N 0.072 0.170 0.195  -0.12
N 0.025 0.623 0.695  -0.12
N 0.623 0.025 0.195  -0.12
La 0.375 0.750 0.625  0.01
N 0.377 0.975 0.805  -0.12
N 0.525 0.330 0.902  -0.12
N 0.170 0.098 0.975  -0.12
Np 0.125 0.750 0.375  2.36
N 0.902 0.072 0.877  -0.12
La 0.375 0.625 0.250  0.01
La 0.250 0.125 0.375  0.01
N 0.195 0.525 0.623  -0.12
N 0.330 0.525 0.402  -0.12
La 0.250 0.625 0.875  0.01
Np 0.750 0.625 0.375  2.36
N 0.098 0.170 0.475  -0.12
N 0.428 0.305 0.330  -0.12
La 0.125 0.250 0.875  0.01
N 0.330 0.805 0.428  -0.12
N 0.805 0.475 0.377  -0.12
Np 0.875 0.625 0.750  2.36
Np 0.750 0.125 0.875  2.36
N 0.428 0.123 0.598  -0.12
N 0.525 0.195 0.123  -0.12
N 0.598 0.975 0.670  -0.12
N 0.195 0.670 0.072  -0.12

Output
Space group: Ia-3d (230)
DOS(E_F) (states/eV/atom): 1.04
Formation energy from raw total energies (eV per atom): -1.022
Density (Mg/m³): 8.97

Entry 2:
The following is a PBE calculation of a geometry-optimized LaNpN2 structure, from Alexandria via LeMat-Bulk.

Unit cell a=3.504 b=3.504 c=6.453 alpha=74.25 beta=74.25 gamma=60.00
Last column: magnetic moment on the atom in μB.
Fractional coordinates of all 4 atoms:
Np 0.667 0.667 0.999  3.12
N 0.072 0.072 0.785  -0.12
N 0.267 0.267 0.198  -0.12
La 0.494 0.494 0.518  0.17

Output
Space group: R3m (160)
DOS(E_F) (states/eV/atom): 1.91
Formation energy from raw total energies (eV per atom): -1.062
Density (Mg/m³): 10.30

Entry 3:
The following is a PBE calculation of a geometry-optimized La5NpN6 structure, from Alexandria via LeMat-Bulk.

Unit cell a=6.335 b=6.362 c=6.357 alpha=59.97 beta=80.42 gamma=70.58
Last column: magnetic moment on the atom in μB.
Fractional coordinates of all 12 atoms:
La 0.000 0.666 0.667  0.01
La 0.500 0.835 0.330  0.03
N 0.231 0.217 0.000  -0.04
N 0.769 0.783 0.000  -0.04
Np 0.000 0.000 0.000  1.50
La 0.500 0.500 0.000  0.03
La 0.000 0.334 0.333  0.01
La 0.500 0.165 0.670  0.03
N 0.783 0.073 0.286  -0.05
N 0.783 0.359 0.714  -0.05
N 0.217 0.641 0.286  -0.05
N 0.217 0.927 0.714  -0.05

Output
Space group: C2/m (12)
DOS(E_F) (states/eV/atom): 0.48
Formation energy from raw total energies (eV per atom): -1.321
Density (Mg/m³): 8.06

Entry 4:
The following is a PBE calculation of a geometry-optimized La2Np2N7 structure, from Alexandria via LeMat-Bulk.

Unit cell a=5.598 b=5.362 c=5.362 alpha=96.75 beta=90.00 gamma=90.00
Fractional coordinates of all 11 atoms:
N 0.223 0.500 0.500
La 0.500 0.753 0.753
N 0.225 0.500 0.000
La 0.500 0.247 0.247
Np 0.000 0.274 0.726
N 0.775 0.500 0.000
N 0.225 0.000 0.500
N 0.777 0.500 0.500
Np 0.000 0.726 0.274
N 0.775 0.000 0.500
N 0.000 0.000 0.000

Output
Space group: Cmmm (65)
DOS(E_F) (states/eV/atom): 0.53
Formation energy from raw total energies (eV per atom): -0.843
Density (Mg/m³): 8.83

Entry 5:
The following is a PBE calculation of a geometry-optimized La3Np2N7 structure, from Alexandria via LeMat-Bulk.

Unit cell a=4.317 b=4.116 c=11.089 alpha=90.00 beta=101.23 gamma=90.00
Last column: magnetic moment on the atom in μB.
Fractional coordinates of all 12 atoms:
La 0.319 0.500 0.638  0.03
La 0.681 0.500 0.362  0.03
N 0.000 0.000 0.000  -0.04
N 0.195 0.000 0.389  -0.04
Np 0.901 0.000 0.802  1.09
N 0.401 0.000 0.801  -0.04
N 0.101 0.500 0.202  -0.04
N 0.599 0.000 0.199  -0.04
N 0.805 0.000 0.611  -0.04
Np 0.099 0.000 0.198  1.09
N 0.899 0.500 0.798  -0.04
La 0.500 0.500 0.000  0.03

Output
Space group: Cmmm (65)
DOS(E_F) (states/eV/atom): 0.59
Formation energy from raw total energies (eV per atom): -1.026
Density (Mg/m³): 8.49

Entry 6:
The following is a PBE calculation of a geometry-optimized La3NpN4 structure, from Alexandria via LeMat-Bulk.

Unit cell a=3.638 b=6.324 c=6.324 alpha=109.11 beta=90.00 gamma=90.00
Last column: magnetic moment on the atom in μB.
Fractional coordinates of all 8 atoms:
La 0.000 0.500 0.000  0.04
N 0.000 0.778 0.778  -0.09
La 0.500 0.500 0.500  0.10
Np 0.500 0.000 0.000  2.53
La 0.000 0.000 0.500  0.04
N 0.500 0.216 0.784  -0.08
N 0.000 0.222 0.222  -0.09
N 0.500 0.784 0.216  -0.08

Output
Space group: Cmmm (65)
DOS(E_F) (states/eV/atom): 0.74
Formation energy from raw total energies (eV per atom): -1.270
Energy relative to the lowest polymorph listed for this composition (eV/f.u.): 0.090
Density (Mg/m³): 8.57

Entry 7:
The following is a PBE calculation of a geometry-optimized LaNpN2 structure, from Alexandria via LeMat-Bulk.

Unit cell a=3.507 b=3.507 c=6.121 alpha=90.06 beta=89.98 gamma=120.00
Last column: magnetic moment on the atom in μB.
Fractional coordinates of all 4 atoms:
N 0.333 0.167 0.210  0.12
Np 0.000 0.500 0.000  -3.25
La 0.000 0.500 0.500  -0.23
N 0.667 0.833 0.790  0.12

Output
Space group: P-3m1 (164)
DOS(E_F) (states/eV/atom): 1.50
Formation energy from raw total energies (eV per atom): -0.951
Density (Mg/m³): 10.29

Entry 8:
The following is a PBE calculation of a geometry-optimized La4NpN5 structure, from Alexandria via LeMat-Bulk.

Unit cell a=5.205 b=6.352 c=6.352 alpha=80.34 beta=65.81 gamma=65.81
Last column: magnetic moment on the atom in μB.
Fractional coordinates of all 10 atoms:
N 0.912 0.350 0.828  -0.07
La 0.602 0.602 0.196  0.05
N 0.263 0.828 0.650  -0.07
N 0.498 0.000 0.000  -0.07
N 0.090 0.650 0.172  -0.07
La 0.798 0.804 0.602  0.05
La 0.400 0.398 0.804  0.05
La 0.204 0.196 0.398  0.05
Np 0.002 0.000 0.000  2.43
N 0.740 0.172 0.350  -0.07

Output
Space group: I4 (79)
DOS(E_F) (states/eV/atom): 0.53
Formation energy from raw total energies (eV per atom): -1.299
Density (Mg/m³): 8.20

- DOS(E_F) of number 8 (La4NpN5)?
  0.53 states/eV/atom

- Among the records above, which one has the lowest DOS(E_F)?
  La5NpN6